Entry from the Alexandria database: K5Sm3Br12 after structural relaxation (GGA-PBE).

a = 16.527 Å, b = 16.527 Å, c = 16.527 Å
α = 109.47°, β = 109.47°, γ = 109.47°
Sites, in units of the cell vectors:
K1 0.000 0.000 0.000
K2 0.000 0.000 0.500
K3 0.000 0.500 0.000
K4 0.000 0.500 0.500
K5 0.125 0.750 0.875
K6 0.125 0.875 0.250
K7 0.250 0.125 0.875
K8 0.250 0.625 0.375
K9 0.375 0.250 0.625
K10 0.375 0.625 0.750
K11 0.500 0.000 0.000
K12 0.500 0.000 0.500
K13 0.500 0.500 0.000
K14 0.500 0.500 0.500
K15 0.625 0.375 0.250
K16 0.625 0.750 0.375
K17 0.750 0.375 0.625
K18 0.750 0.875 0.125
K19 0.875 0.125 0.750
K20 0.875 0.250 0.125
Sm1 0.125 0.250 0.375
Sm2 0.125 0.375 0.750
Sm3 0.250 0.375 0.125
Sm4 0.250 0.875 0.625
Sm5 0.375 0.125 0.250
Sm6 0.375 0.750 0.125
Sm7 0.625 0.250 0.875
Sm8 0.625 0.875 0.750
Sm9 0.750 0.125 0.375
Sm10 0.750 0.625 0.875
Sm11 0.875 0.625 0.250
Sm12 0.875 0.750 0.625
Br1 0.032 0.640 0.215
Br2 0.032 0.893 0.817
Br3 0.075 0.183 0.715
Br4 0.075 0.393 0.360
Br5 0.107 0.183 0.968
Br6 0.107 0.425 0.140
Br7 0.140 0.107 0.425
Br8 0.140 0.532 0.715
Br9 0.183 0.715 0.075
Br10 0.183 0.968 0.107
Br11 0.215 0.032 0.640
Br12 0.215 0.683 0.575
Br13 0.285 0.860 0.468
Br14 0.285 0.925 0.817
Br15 0.317 0.393 0.532
Br16 0.317 0.425 0.785
Br17 0.360 0.075 0.393
Br18 0.360 0.785 0.968
Br19 0.393 0.360 0.075
Br20 0.393 0.532 0.317
Br21 0.425 0.140 0.107
Br22 0.425 0.785 0.317
Br23 0.468 0.285 0.860
Br24 0.468 0.683 0.607
Br25 0.532 0.317 0.393
Br26 0.532 0.715 0.140
Br27 0.575 0.215 0.683
Br28 0.575 0.860 0.893
Br29 0.607 0.468 0.683
Br30 0.607 0.640 0.925
Br31 0.640 0.215 0.032
Br32 0.640 0.925 0.607
Br33 0.683 0.575 0.215
Br34 0.683 0.607 0.468
Br35 0.715 0.075 0.183
Br36 0.715 0.140 0.532
Br37 0.785 0.317 0.425
Br38 0.785 0.968 0.360
Br39 0.817 0.032 0.893
Br40 0.817 0.285 0.925
Br41 0.860 0.468 0.285
Br42 0.860 0.893 0.575
Br43 0.893 0.575 0.860
Br44 0.893 0.817 0.032
Br45 0.925 0.607 0.640
Br46 0.925 0.817 0.285
Br47 0.968 0.107 0.183
Br48 0.968 0.360 0.785

Computed properties:
Space-group type ... Ia-3d
Crystal system ... cubic
ΔE_f (raw) ... -32.2 eV per formula unit
Total magnetic moment ... 0.000 μB/cell

---

Entry from the Alexandria database: K2SmBr5 after structural relaxation (GGA-PBE).

a = 13.656 Å, b = 9.172 Å, c = 8.588 Å
α = 90.00°, β = 90.00°, γ = 90.00°
Sites, in units of the cell vectors:
K1 0.173 0.004 0.056
K2 0.173 0.496 0.056
K3 0.327 0.504 0.556
K4 0.327 0.996 0.556
K5 0.673 0.004 0.444
K6 0.673 0.496 0.444
K7 0.827 0.504 0.944
K8 0.827 0.996 0.944
Sm1 0.006 0.250 0.577
Sm2 0.494 0.750 0.077
Sm3 0.506 0.250 0.923
Sm4 0.994 0.750 0.423
Br1 0.010 0.250 0.920
Br2 0.075 0.544 0.665
Br3 0.075 0.956 0.665
Br4 0.179 0.250 0.379
Br5 0.201 0.750 0.341
Br6 0.299 0.250 0.841
Br7 0.321 0.750 0.879
Br8 0.425 0.044 0.165
Br9 0.425 0.456 0.165
Br10 0.490 0.750 0.420
Br11 0.510 0.250 0.580
Br12 0.575 0.544 0.835
Br13 0.575 0.956 0.835
Br14 0.679 0.250 0.121
Br15 0.701 0.750 0.159
Br16 0.799 0.250 0.659
Br17 0.821 0.750 0.621
Br18 0.925 0.044 0.335
Br19 0.925 0.456 0.335
Br20 0.990 0.750 0.080

Computed properties:
Space-group type ... Pnma
Crystal system ... orthorhombic
ΔE_f (raw) ... -14.7 eV per formula unit
Total magnetic moment ... 0.000 μB/cell

---

Entry from the Alexandria database: K2SmBr6 after structural relaxation (GGA-PBE).

a = 4.569 Å, b = 8.594 Å, c = 8.594 Å
α = 120.33°, β = 90.00°, γ = 90.00°
Sites, in units of the cell vectors:
K1 0.000 0.168 0.832
K2 0.000 0.832 0.168
Sm1 0.500 0.503 0.503
Br1 0.000 0.263 0.501
Br2 0.000 0.501 0.263
Br3 0.000 0.742 0.742
Br4 0.500 0.145 0.145
Br5 0.500 0.500 0.858
Br6 0.500 0.858 0.500

Computed properties:
Space-group type ... Amm2
Crystal system ... orthorhombic
ΔE_f (raw) ... -13.7 eV per formula unit
Total magnetic moment ... 1.042 μB/cell

---

Entry from the Alexandria database: KSm3Br8 after structural relaxation (GGA-PBE).

a = 9.467 Å, b = 9.467 Å, c = 9.467 Å
α = 50.46°, β = 50.46°, γ = 50.46°
Sites, in units of the cell vectors:
K1 0.000 0.000 0.000
Sm1 0.000 0.000 0.500
Sm2 0.000 0.500 0.000
Sm3 0.500 0.000 0.000
Br1 0.241 0.735 0.735
Br2 0.242 0.242 0.242
Br3 0.265 0.265 0.759
Br4 0.265 0.759 0.265
Br5 0.735 0.241 0.735
Br6 0.735 0.735 0.241
Br7 0.758 0.758 0.758
Br8 0.759 0.265 0.265

Computed properties:
Space-group type ... R-3m
Crystal system ... trigonal
ΔE_f (raw) ... -20.7 eV per formula unit
Total magnetic moment ... 1.422 μB/cell

---

Entry from the Alexandria database: KSmSn2Br8 after structural relaxation (GGA-PBE).

a = 6.872 Å, b = 9.127 Å, c = 7.252 Å
α = 90.00°, β = 91.15°, γ = 90.00°
Sites, in units of the cell vectors:
K1 0.000 0.000 0.000
Sm1 0.000 0.500 0.000
Sn1 0.500 0.247 0.500
Sn2 0.500 0.753 0.500
Br1 0.242 0.500 0.676
Br2 0.244 0.276 0.159
Br3 0.244 0.724 0.159
Br4 0.275 0.000 0.634
Br5 0.725 0.000 0.366
Br6 0.756 0.276 0.841
Br7 0.756 0.724 0.841
Br8 0.758 0.500 0.324

Computed properties:
Space-group type ... P2/m
Crystal system ... monoclinic
ΔE_f (raw) ... -15.4 eV per formula unit
Total magnetic moment ... 0.000 μB/cell

---

Entry from the Alexandria database: KSmSnBr6 after structural relaxation (GGA-PBE).

a = 7.631 Å, b = 7.631 Å, c = 7.171 Å
α = 90.00°, β = 90.00°, γ = 120.00°
Sites, in units of the cell vectors:
K1 0.000 0.000 0.000
Sm1 0.667 0.333 0.500
Sn1 0.333 0.667 0.500
Br1 0.371 0.013 0.730
Br2 0.371 0.358 0.270
Br3 0.642 0.013 0.270
Br4 0.642 0.629 0.730
Br5 0.987 0.358 0.730
Br6 0.987 0.629 0.270

Computed properties:
Space-group type ... P312
Crystal system ... trigonal
ΔE_f (raw) ... -13.5 eV per formula unit
Total magnetic moment ... 0.000 μB/cell

---

Entry from the Alexandria database: K2SmTlBr6 after structural relaxation (GGA-PBE).

a = 8.512 Å, b = 8.512 Å, c = 8.512 Å
α = 57.19°, β = 57.19°, γ = 57.19°
Sites, in units of the cell vectors:
K1 0.000 0.000 0.000
K2 0.489 0.489 0.489
Sm1 0.695 0.695 0.695
Tl1 0.205 0.205 0.205
Br1 0.042 0.451 0.808
Br2 0.340 0.896 0.594
Br3 0.451 0.808 0.042
Br4 0.594 0.340 0.896
Br5 0.808 0.042 0.451
Br6 0.896 0.594 0.340

Computed properties:
Space-group type ... R3
Crystal system ... trigonal
ΔE_f (raw) ... -16.4 eV per formula unit
Total magnetic moment ... 0.000 μB/cell

---

Entry from the Alexandria database: K2SnBr6 after structural relaxation (GGA-PBE).

a = 7.266 Å, b = 7.266 Å, c = 13.968 Å
α = 90.00°, β = 90.00°, γ = 90.00°
Sites, in units of the cell vectors:
K1 0.000 0.000 0.166
K2 0.000 0.000 0.834
K3 0.500 0.500 0.334
K4 0.500 0.500 0.666
Sn1 0.000 0.000 0.500
Sn2 0.500 0.500 0.000
Br1 0.179 0.179 0.363
Br2 0.179 0.179 0.637
Br3 0.241 0.241 0.000
Br4 0.259 0.741 0.500
Br5 0.321 0.679 0.137
Br6 0.321 0.679 0.863
Br7 0.679 0.321 0.137
Br8 0.679 0.321 0.863
Br9 0.741 0.259 0.500
Br10 0.759 0.759 0.000
Br11 0.821 0.821 0.363
Br12 0.821 0.821 0.637

Computed properties:
Space-group type ... P4_2/mnm
Crystal system ... tetragonal
ΔE_f (raw) ... -10.0 eV per formula unit
Total magnetic moment ... 0.000 μB/cell

---

Entry from the Alexandria database: KSnBr2 after structural relaxation (GGA-PBE).

a = 9.923 Å, b = 9.923 Å, c = 9.923 Å
α = 142.83°, β = 142.83°, γ = 53.58°
Sites, in units of the cell vectors:
K1 0.000 0.000 0.000
K2 0.750 0.250 0.500
Sn1 0.250 0.750 0.500
Sn2 0.500 0.500 0.000
Br1 0.162 0.625 0.037
Br2 0.375 0.412 0.537
Br3 0.588 0.125 0.963
Br4 0.875 0.838 0.463

Computed properties:
Space-group type ... I-42d
Crystal system ... tetragonal
ΔE_f (raw) ... -3.0 eV per formula unit
Total magnetic moment ... 0.000 μB/cell

---

Entry from the Alexandria database: K6SnBr8 after structural relaxation (GGA-PBE).

a = 8.707 Å, b = 8.707 Å, c = 8.707 Å
α = 68.76°, β = 68.76°, γ = 68.76°
Sites, in units of the cell vectors:
K1 0.020 0.804 0.440
K2 0.196 0.560 0.980
K3 0.440 0.020 0.804
K4 0.560 0.980 0.196
K5 0.804 0.440 0.020
K6 0.980 0.196 0.560
Sn1 0.500 0.500 0.500
Br1 0.162 0.162 0.162
Br2 0.168 0.400 0.670
Br3 0.330 0.832 0.600
Br4 0.400 0.670 0.168
Br5 0.600 0.330 0.832
Br6 0.670 0.168 0.400
Br7 0.832 0.600 0.330
Br8 0.838 0.838 0.838

Computed properties:
Space-group type ... R-3
Crystal system ... trigonal
ΔE_f (raw) ... -22.9 eV per formula unit
Total magnetic moment ... 0.000 μB/cell

---

Entry from the Alexandria database: K2Sn3Br8 after structural relaxation (GGA-PBE).

a = 9.249 Å, b = 9.249 Å, c = 7.622 Å
α = 106.30°, β = 106.30°, γ = 57.29°
Sites, in units of the cell vectors:
K1 0.234 0.234 0.162
K2 0.766 0.766 0.838
Sn1 0.242 0.758 0.500
Sn2 0.500 0.500 0.000
Sn3 0.758 0.242 0.500
Br1 0.112 0.112 0.443
Br2 0.155 0.620 0.103
Br3 0.380 0.845 0.897
Br4 0.388 0.388 0.594
Br5 0.612 0.612 0.406
Br6 0.620 0.155 0.103
Br7 0.845 0.380 0.897
Br8 0.888 0.888 0.557

Computed properties:
Space-group type ... C2/m
Crystal system ... monoclinic
ΔE_f (raw) ... -14.0 eV per formula unit
Total magnetic moment ... 0.000 μB/cell

---

Entry from the Alexandria database: K12Sn3Br5 after structural relaxation (GGA-PBE).

a = 17.359 Å, b = 17.359 Å, c = 17.359 Å
α = 109.47°, β = 109.47°, γ = 109.47°
Sites, in units of the cell vectors:
K1 0.047 0.219 0.133
K2 0.047 0.328 0.914
K3 0.086 0.633 0.414
K4 0.086 0.719 0.672
K5 0.086 0.867 0.414
K6 0.086 0.953 0.672
K7 0.133 0.047 0.219
K8 0.133 0.586 0.914
K9 0.172 0.219 0.586
K10 0.172 0.453 0.586
K11 0.219 0.133 0.047
K12 0.219 0.586 0.172
K13 0.281 0.328 0.914
K14 0.281 0.453 0.367
K15 0.328 0.914 0.047
K16 0.328 0.914 0.281
K17 0.367 0.281 0.453
K18 0.367 0.586 0.914
K19 0.414 0.086 0.633
K20 0.414 0.086 0.867
K21 0.414 0.828 0.547
K22 0.414 0.828 0.781
K23 0.453 0.367 0.281
K24 0.453 0.586 0.172
K25 0.547 0.414 0.828
K26 0.547 0.633 0.719
K27 0.586 0.172 0.219
K28 0.586 0.172 0.453
K29 0.586 0.914 0.133
K30 0.586 0.914 0.367
K31 0.633 0.414 0.086
K32 0.633 0.719 0.547
K33 0.672 0.086 0.719
K34 0.672 0.086 0.953
K35 0.719 0.547 0.633
K36 0.719 0.672 0.086
K37 0.781 0.414 0.828
K38 0.781 0.867 0.953
K39 0.828 0.547 0.414
K40 0.828 0.781 0.414
K41 0.867 0.414 0.086
K42 0.867 0.953 0.781
K43 0.914 0.047 0.328
K44 0.914 0.133 0.586
K45 0.914 0.281 0.328
K46 0.914 0.367 0.586
K47 0.953 0.672 0.086
K48 0.953 0.781 0.867
Sn1 0.125 0.250 0.375
Sn2 0.125 0.375 0.750
Sn3 0.250 0.375 0.125
Sn4 0.250 0.875 0.625
Sn5 0.375 0.125 0.250
Sn6 0.375 0.750 0.125
Sn7 0.625 0.250 0.875
Sn8 0.625 0.875 0.750
Sn9 0.750 0.125 0.375
Sn10 0.750 0.625 0.875
Sn11 0.875 0.625 0.250
Sn12 0.875 0.750 0.625
Br1 0.000 0.000 0.000
Br2 0.000 0.000 0.500
Br3 0.000 0.500 0.000
Br4 0.000 0.500 0.500
Br5 0.125 0.750 0.875
Br6 0.125 0.875 0.250
Br7 0.250 0.125 0.875
Br8 0.250 0.625 0.375
Br9 0.375 0.250 0.625
Br10 0.375 0.625 0.750
Br11 0.500 0.000 0.000
Br12 0.500 0.000 0.500
Br13 0.500 0.500 0.000
Br14 0.500 0.500 0.500
Br15 0.625 0.375 0.250
Br16 0.625 0.750 0.375
Br17 0.750 0.375 0.625
Br18 0.750 0.875 0.125
Br19 0.875 0.125 0.750
Br20 0.875 0.250 0.125

Computed properties:
Space-group type ... Ia-3d
Crystal system ... cubic
ΔE_f (raw) ... -15.9 eV per formula unit
Total magnetic moment ... 20.359 μB/cell

---

Entry from the Alexandria database: KSn2Br after structural relaxation (GGA-PBE).

a = 16.160 Å, b = 16.160 Å, c = 16.160 Å
α = 164.53°, β = 164.53°, γ = 21.94°
Sites, in units of the cell vectors:
K1 0.000 0.000 0.000
K2 0.750 0.250 0.500
Sn1 0.118 0.625 0.993
Sn2 0.375 0.368 0.493
Sn3 0.632 0.125 0.007
Sn4 0.875 0.882 0.507
Br1 0.250 0.750 0.500
Br2 0.500 0.500 0.000

Computed properties:
Space-group type ... I-42d
Crystal system ... tetragonal
ΔE_f (raw) ... -2.0 eV per formula unit
Total magnetic moment ... 0.000 μB/cell

---

Entry from the Alexandria database: K2SnBr5 after structural relaxation (GGA-PBE).

a = 6.512 Å, b = 8.068 Å, c = 8.425 Å
α = 62.30°, β = 67.35°, γ = 66.21°
Sites, in units of the cell vectors:
K1 0.000 0.000 0.000
K2 0.459 0.623 0.460
Sn1 0.211 0.311 0.230
Br1 0.004 0.593 0.401
Br2 0.276 0.019 0.560
Br3 0.313 0.604 0.901
Br4 0.456 0.030 0.060
Br5 0.800 0.312 0.230

Computed properties:
Space-group type ... P1
Crystal system ... triclinic
ΔE_f (raw) ... -9.5 eV per formula unit
Total magnetic moment ... 0.000 μB/cell